A plane-wave DFT calculation with PBE with a Hubbard U was carried out for a relaxed structure of PaCo2WO8.

E_tot in eV/atom: -7.478

abc: 5.7766 5.7766 5.7766
angles: 109.53 109.53 109.35
Atoms (fractional coordinates):
Pa1 0.0000 0.0000 0.0000
Co1 0.2500 0.7500 0.5000
Co2 0.5000 0.5000 0.0000
W1 0.7500 0.2500 0.5000
O1 0.0201 0.3428 0.3227
O2 0.0201 0.6975 0.6773
O3 0.1090 0.3129 0.7961
O4 0.3025 0.9799 0.3227
O5 0.5168 0.3129 0.2039
O6 0.6572 0.9799 0.6773
O7 0.6871 0.4832 0.7961
O8 0.6871 0.8910 0.2039